No. 1
First-principles (PBE) data for a relaxed Ca2BiRhI crystal, as listed in Alexandria. Values from VASP.

Geometry as Quantum ESPRESSO input:
```
&SYSTEM
  ibrav = 0, nat = 5, ntyp = 4
/
ATOMIC_SPECIES
Rh 102.91 Rh.upf
Ca 40.08 Ca.upf
Bi 208.98 Bi.upf
I 126.90 I.upf
ATOMIC_POSITIONS crystal
Rh 0.0000 0.0000 0.0000
Ca 0.5000 0.0000 0.0000
Ca 0.0000 0.0000 0.5000
Bi 0.5000 0.5000 0.5000
I 0.0000 0.5000 0.0000
CELL_PARAMETERS angstrom
5.6703 0.0000 0.0000
0.0000 4.9309 0.0000
0.0000 0.0000 5.6703
```

Values from the calculation:
**Space group**: P4/mmm (123)
**Uncorrected formation energy**: -0.319 eV per atom
**Density of states at the Fermi level**: 1.05 states/eV/atom

=====

No. 2
First-principles (PBE) data for a relaxed Ca4BiSbI2 crystal, as listed in Alexandria. Values from VASP.

Geometry as Quantum ESPRESSO input:
```
&SYSTEM
  ibrav = 0, nat = 8, ntyp = 4
/
ATOMIC_SPECIES
Ca 40.08 Ca.upf
Sb 121.76 Sb.upf
I 126.90 I.upf
Bi 208.98 Bi.upf
ATOMIC_POSITIONS crystal
Ca 0.5000 0.7069 0.2675
Ca 0.5000 0.2931 0.7325
Ca 0.0000 0.2915 0.2393
Ca 0.0000 0.7085 0.7607
Sb 0.0000 0.5000 0.5000
I 0.5000 0.0000 0.5000
I 0.0000 0.0000 0.0000
Bi 0.5000 0.5000 0.0000
CELL_PARAMETERS angstrom
4.6712 0.0000 0.0000
0.0000 8.0507 -0.1432
0.0000 2.8458 7.5879
```

Values from the calculation:
**Space group**: P2/m (10)
**Uncorrected formation energy**: -1.185 eV per atom

=====

No. 3
First-principles (PBE) data for a relaxed CaSiBiI2 crystal, as listed in Alexandria. Values from VASP.

Geometry as Quantum ESPRESSO input:
```
&SYSTEM
  ibrav = 0, nat = 5, ntyp = 4
/
ATOMIC_SPECIES
I 126.90 I.upf
Ca 40.08 Ca.upf
Bi 208.98 Bi.upf
Si 28.09 Si.upf
ATOMIC_POSITIONS crystal
I 0.0000 0.0000 0.5000
I 0.5000 0.0000 0.0000
Ca 0.0000 0.5000 0.0000
Bi 0.5000 0.5000 0.5000
Si 0.0000 0.0000 0.0000
CELL_PARAMETERS angstrom
5.5278 0.0000 0.0000
0.0000 5.8730 0.0000
0.0000 0.0000 5.5278
```

Values from the calculation:
**Space group**: P4/mmm (123)
**Uncorrected formation energy**: 0.157 eV per atom
**Density of states at the Fermi level**: 0.92 states/eV/atom

=====

No. 4
First-principles (PBE) data for a relaxed CaBiTeI2 crystal, as listed in Alexandria. Values from VASP.

Geometry as Quantum ESPRESSO input:
```
&SYSTEM
  ibrav = 0, nat = 5, ntyp = 4
/
ATOMIC_SPECIES
Bi 208.98 Bi.upf
I 126.90 I.upf
Te 127.60 Te.upf
Ca 40.08 Ca.upf
ATOMIC_POSITIONS crystal
Bi 0.5000 0.5000 0.5000
I 0.0000 0.5000 0.0000
I 0.5000 0.0000 0.0000
Te 0.0000 0.0000 0.5000
Ca 0.0000 0.0000 0.0000
CELL_PARAMETERS angstrom
5.8192 0.0000 0.0000
0.0000 5.8192 0.0000
0.0000 0.0000 6.2932
```

Values from the calculation:
**Space group**: P4/mmm (123)
**Uncorrected formation energy**: -0.310 eV per atom
**Density of states at the Fermi level**: 0.46 states/eV/atom

=====

No. 5
First-principles (PBE) data for a relaxed Ca4BiTeI2 crystal, as listed in Alexandria. Values from VASP.

Geometry as Quantum ESPRESSO input:
```
&SYSTEM
  ibrav = 0, nat = 8, ntyp = 4
/
ATOMIC_SPECIES
Ca 40.08 Ca.upf
Te 127.60 Te.upf
Bi 208.98 Bi.upf
I 126.90 I.upf
ATOMIC_POSITIONS crystal
Ca 0.0000 0.2789 0.2433
Ca 0.0000 0.7211 0.7567
Ca 0.5000 0.7193 0.2637
Ca 0.5000 0.2807 0.7363
Te 0.5000 0.5000 0.0000
Bi 0.0000 0.5000 0.5000
I 0.5000 0.0000 0.5000
I 0.0000 0.0000 0.0000
CELL_PARAMETERS angstrom
4.6265 0.0000 0.0000
0.0000 7.8965 -0.1223
0.0000 2.8112 7.4821
```

Values from the calculation:
**Space group**: P2/m (10)
**Uncorrected formation energy**: -1.222 eV per atom
**Density of states at the Fermi level**: 0.37 states/eV/atom

=====

No. 6
First-principles (PBE) data for a relaxed Ca4BiTe2I crystal, as listed in Alexandria. Values from VASP.

Geometry as Quantum ESPRESSO input:
```
&SYSTEM
  ibrav = 0, nat = 8, ntyp = 4
/
ATOMIC_SPECIES
Ca 40.08 Ca.upf
Te 127.60 Te.upf
I 126.90 I.upf
Bi 208.98 Bi.upf
ATOMIC_POSITIONS crystal
Ca 0.4372 0.9377 0.0000
Ca 0.1730 0.1730 0.4725
Ca 0.9377 0.4372 0.0000
Ca 0.7005 0.7005 0.5275
Te 0.1869 0.6869 0.5000
Te 0.6869 0.1869 0.5000
I 0.4378 0.4378 0.0000
Bi 0.9373 0.9373 0.0000
CELL_PARAMETERS angstrom
-0.2503 -6.3528 -1.0102
2.4040 0.8440 -5.9119
4.9872 2.1374 5.8388
```

Values from the calculation:
**Space group**: I4/mmm (139)
**Uncorrected formation energy**: -1.383 eV per atom

=====

No. 7
First-principles (PBE) data for a relaxed CaBiTe2I crystal, as listed in Alexandria. Values from VASP.

Geometry as Quantum ESPRESSO input:
```
&SYSTEM
  ibrav = 0, nat = 5, ntyp = 4
/
ATOMIC_SPECIES
Ca 40.08 Ca.upf
Te 127.60 Te.upf
Bi 208.98 Bi.upf
I 126.90 I.upf
ATOMIC_POSITIONS crystal
Ca 0.5000 0.5000 0.5000
Te 0.0000 0.5000 0.0000
Te 0.5000 0.0000 0.0000
Bi 0.0000 0.0000 0.0000
I 0.0000 0.0000 0.5000
CELL_PARAMETERS angstrom
-4.0271 0.7842 -4.3823
-4.4379 -0.2391 4.0354
0.3476 5.8615 0.7295
```

Values from the calculation:
**Space group**: P4/mmm (123)
**Uncorrected formation energy**: -0.241 eV per atom
**Density of states at the Fermi level**: 0.33 states/eV/atom

=====

No. 8
First-principles (PBE) data for a relaxed CaTlBiI6 crystal, as listed in Alexandria. Values from VASP.

Geometry as Quantum ESPRESSO input:
```
&SYSTEM
  ibrav = 0, nat = 9, ntyp = 4
/
ATOMIC_SPECIES
I 126.90 I.upf
Bi 208.98 Bi.upf
Tl 204.38 Tl.upf
Ca 40.08 Ca.upf
ATOMIC_POSITIONS crystal
I 0.3609 0.0038 0.7353
I 0.0037 0.6353 0.7353
I 0.6353 0.0038 0.2647
I 0.0037 0.3610 0.2647
I 0.3609 0.6353 0.2647
I 0.6352 0.3610 0.7353
Bi 0.3333 0.3333 0.5000
Tl 0.0000 0.0000 0.0000
Ca 0.6666 0.6667 0.5000
CELL_PARAMETERS angstrom
7.9989 0.0001 -0.0002
3.9995 6.9274 0.0000
-0.0001 -0.0003 7.6898
```

Values from the calculation:
**Space group**: P312 (149)
**Uncorrected formation energy**: -0.883 eV per atom
**Density of states at the Fermi level**: 0.00 states/eV/atom

=====

No. 9
First-principles (PBE) data for a relaxed CaYBiI2 crystal, as listed in Alexandria. Values from VASP.

Geometry as Quantum ESPRESSO input:
```
&SYSTEM
  ibrav = 0, nat = 5, ntyp = 4
/
ATOMIC_SPECIES
Ca 40.08 Ca.upf
I 126.90 I.upf
Y 88.91 Y.upf
Bi 208.98 Bi.upf
ATOMIC_POSITIONS crystal
Ca 0.5000 0.5000 0.5000
I 0.5000 0.0000 0.0000
I 0.0000 0.0000 0.5000
Y 0.0000 0.0000 0.0000
Bi 0.0000 0.5000 0.0000
CELL_PARAMETERS angstrom
5.8457 0.0000 0.0000
0.0000 6.2712 0.0000
0.0000 0.0000 5.8457
```

Values from the calculation:
**Space group**: P4/mmm (123)
**Uncorrected formation energy**: -0.664 eV per atom
**Density of states at the Fermi level**: 0.01 states/eV/atom

=====

No. 10
First-principles (PBE) data for a relaxed CaIn6Bi2 crystal, as listed in Alexandria. Values from VASP.

Geometry as Quantum ESPRESSO input:
```
&SYSTEM
  ibrav = 0, nat = 9, ntyp = 3
/
ATOMIC_SPECIES
Ca 40.08 Ca.upf
Bi 208.98 Bi.upf
In 114.82 In.upf
ATOMIC_POSITIONS crystal
Ca 0.5000 0.5000 0.0000
Bi 0.9486 0.1842 0.8973
Bi 0.0514 0.8158 0.1027
In 0.1776 0.4933 0.3553
In 0.6163 0.1685 0.2326
In 0.8224 0.5067 0.6447
In 0.7245 0.8492 0.4489
In 0.3837 0.8315 0.7674
In 0.2755 0.1508 0.5511
CELL_PARAMETERS angstrom
4.6634 0.0000 -1.3946
-0.6624 7.7539 -2.2151
-0.3898 0.2595 7.1909
```

Values from the calculation:
**Space group**: C2/m (12)
**Density of states at the Fermi level**: 0.44 states/eV/atom
**Formation enthalpy at 0 K**: -118 meV/atom

=====

No. 11
First-principles (PBE) data for a relaxed CaIn7Bi4 crystal, as listed in Alexandria. Values from VASP.

Geometry as Quantum ESPRESSO input:
```
&SYSTEM
  ibrav = 0, nat = 12, ntyp = 3
/
ATOMIC_SPECIES
Ca 40.08 Ca.upf
In 114.82 In.upf
Bi 208.98 Bi.upf
ATOMIC_POSITIONS crystal
Ca 0.0000 0.0000 0.0000
In 0.9543 0.2621 0.8142
In 0.5836 0.4073 0.2549
In 0.8139 0.8210 0.5929
In 0.5000 0.0000 0.0000
In 0.1861 0.1790 0.4071
In 0.4164 0.5927 0.7451
In 0.0457 0.7379 0.1858
Bi 0.7166 0.1384 0.4479
Bi 0.0914 0.4335 0.1411
Bi 0.9086 0.5665 0.8589
Bi 0.2834 0.8616 0.5521
CELL_PARAMETERS angstrom
-4.8788 4.6660 -0.1274
-5.4372 5.8459 -8.2218
-8.6387 -1.3578 3.5435
```

Values from the calculation:
**Space group**: P-1 (2)
**Density of states at the Fermi level**: 0.54 states/eV/atom
**Formation enthalpy at 0 K**: -46 meV/atom

=====

| no. | magnetic moment (μB per formula unit) |
| --- | --- |
| 1 | 0.0 |
| 2 | 0.0 |
| 3 | 1.0 |
| 4 | 1.0 |
| 5 | 0.0 |
| 6 | 0.0 |
| 7 | 0.0 |
| 8 | 0.0 |
| 9 | 0.0 |
| 10 | 0.0 |
| 11 | 0.0 |